Record 1
Entry from Alexandria: a geometry-optimized BaAlIn3 structure (GGA-PBE).

- formation energy from the elements (meV/atom) = 1026
- calculated density (g/cm3) = 3.240
- SG = Pm-3m
- distance to the lowest polymorph of the same formula (meV per atom) = 1342.0
- crystal system = cubic

a = 6.389 Å, b = 6.389 Å, c = 6.389 Å
α = 90.00°, β = 90.00°, γ = 90.00°
Positions (direct):
Ba  0.000  0.000  0.000
Al  0.500  0.500  0.500
In  0.000  0.000  0.500
In  0.000  0.500  0.000
In  0.500  0.000  0.000



Record 2
Entry from Alexandria: a geometry-optimized Ba6AlIn structure (GGA-PBE).

- formation energy from the elements (meV/atom) = -115
- calculated density (g/cm3) = 3.966
- SG = I4/mmm
- crystal system = tetragonal

a = 11.738 Å, b = 11.738 Å, c = 11.738 Å
α = 149.96°, β = 149.96°, γ = 43.01°
Positions (direct):
Ba  0.089  0.589  0.500
Ba  0.250  0.250  0.000
Ba  0.411  0.911  0.500
Ba  0.589  0.089  0.500
Ba  0.750  0.750  0.000
Ba  0.911  0.411  0.500
Al  0.000  0.000  0.000
In  0.500  0.500  0.000



Record 3
Entry from Alexandria: a geometry-optimized Ba3AlIn2 structure (GGA-PBE).

- formation energy from the elements (meV/atom) = -262
- calculated density (g/cm3) = 4.802
- SG = P2_1/c
- crystal system = monoclinic

a = 8.437 Å, b = 11.275 Å, c = 9.734 Å
α = 90.00°, β = 92.81°, γ = 90.00°
Positions (direct):
Ba  0.147  0.123  0.467
Ba  0.147  0.377  0.967
Ba  0.219  0.680  0.726
Ba  0.219  0.820  0.226
Ba  0.323  0.039  0.840
Ba  0.323  0.461  0.340
Ba  0.677  0.539  0.660
Ba  0.677  0.961  0.160
Ba  0.781  0.180  0.774
Ba  0.781  0.320  0.274
Ba  0.853  0.623  0.033
Ba  0.853  0.877  0.533
Al  0.377  0.181  0.177
Al  0.377  0.319  0.677
Al  0.623  0.681  0.323
Al  0.623  0.819  0.823
In  0.047  0.098  0.115
In  0.047  0.402  0.615
In  0.446  0.634  0.036
In  0.446  0.866  0.536
In  0.554  0.134  0.464
In  0.554  0.366  0.964
In  0.953  0.598  0.385
In  0.953  0.902  0.885



Record 4
Entry from Alexandria: a geometry-optimized Ba2AlIn2 structure (GGA-PBE).

- formation energy from the elements (meV/atom) = -214
- calculated density (g/cm3) = 5.140
- SG = P4/mbm
- distance to the lowest polymorph of the same formula (meV per atom) = 148.4
- crystal system = tetragonal

a = 7.771 Å, b = 7.771 Å, c = 5.684 Å
α = 90.00°, β = 90.00°, γ = 90.00°
Positions (direct):
Ba  0.176  0.324  0.000
Ba  0.324  0.824  0.000
Ba  0.676  0.176  0.000
Ba  0.824  0.676  0.000
Al  0.000  0.000  0.500
Al  0.500  0.500  0.500
In  0.137  0.637  0.500
In  0.363  0.137  0.500
In  0.637  0.863  0.500
In  0.863  0.363  0.500